Record 1
This record from OQMD describes TmLuNO after structural relaxation. The functional is PBE.

a b c (Å): 4.7791 6.4494 7.8912
angles (deg): 90.00 90.00 90.00
With the nearest neighbours (Å) after each atom.
Fractional coordinates of all 16 atoms:
Lu1 0.0498 0.0837 0.1265  1 O 2.19, 4 N 2.20-2.39
Lu2 0.5498 0.4163 0.1265  1 O 2.19, 4 N 2.20-2.39
Lu3 0.0498 0.5837 0.8735  1 O 2.19, 4 N 2.20-2.39
Lu4 0.5498 0.9163 0.8735  1 O 2.19, 4 N 2.20-2.39
N1 0.5493 0.0706 0.1223  4 Lu 2.20-2.39, 1 Tm 2.20
N2 0.0493 0.4294 0.1223  4 Lu 2.20-2.39, 1 Tm 2.20
N3 0.5493 0.5706 0.8777  4 Lu 2.20-2.39, 1 Tm 2.20
N4 0.0493 0.9294 0.8777  4 Lu 2.20-2.39, 1 Tm 2.20
O1 0.5505 0.5939 0.3634  4 Tm 2.18-2.41, 1 Lu 2.19
O2 0.0505 0.9061 0.3634  4 Tm 2.18-2.41, 1 Lu 2.19
O3 0.5505 0.0939 0.6366  4 Tm 2.18-2.41, 1 Lu 2.19
O4 0.0505 0.4061 0.6366  4 Tm 2.18-2.41, 1 Lu 2.19
Tm1 0.0528 0.5681 0.3777  4 O 2.18-2.41, 1 N 2.20
Tm2 0.5528 0.9319 0.3777  4 O 2.18-2.41, 1 N 2.20
Tm3 0.0528 0.0681 0.6223  4 O 2.18-2.41, 1 N 2.20
Tm4 0.5528 0.4319 0.6223  4 O 2.18-2.41, 1 N 2.20

Properties
Calculated volume   15.2 Å³/atom
Distance to the lowest polymorph of the same formula   0.113 eV per atom

=====

Record 2
This record from OQMD describes CsCuSnTe3 after structural relaxation. The functional is PBE.

a b c (Å): 12.2165 4.4984 14.6988
angles (deg): 90.00 90.00 90.00
With the nearest neighbours (Å) after each atom.
Fractional coordinates of all 24 atoms:
Cs1 0.2520 0.2500 0.0278  2 Cu 3.68, 8 Te 3.83-3.92
Cs2 0.7520 0.2500 0.4722  2 Cu 3.68, 8 Te 3.83-3.92
Cs3 0.2480 0.7500 0.5278  2 Cu 3.68, 8 Te 3.83-3.92
Cs4 0.7480 0.7500 0.9722  2 Cu 3.68, 8 Te 3.83-3.92
Cu1 0.7525 0.2500 0.1708  4 Te 2.60-2.63
Cu2 0.2525 0.2500 0.3292  4 Te 2.60-2.63
Cu3 0.7475 0.7500 0.6708  4 Te 2.60-2.63
Cu4 0.2475 0.7500 0.8292  4 Te 2.60-2.63
Sn1 0.0021 0.7500 0.2483  6 Te 3.04-3.11
Sn2 0.5021 0.7500 0.2517  6 Te 3.04-3.11
Sn3 0.4979 0.2500 0.7483  6 Te 3.04-3.11
Sn4 0.9979 0.2500 0.7517  6 Te 3.04-3.11
Te1 0.9539 0.2500 0.1077  1 Cu 2.63
Te2 0.5487 0.2500 0.1127  1 Cu 2.63
Te3 0.2535 0.7500 0.2408  2 Cu 2.60
Te4 0.7535 0.7500 0.2592  2 Cu 2.60
Te5 0.0487 0.2500 0.3873  1 Cu 2.63
Te6 0.4539 0.2500 0.3923  1 Cu 2.63
Te7 0.5461 0.7500 0.6077  1 Cu 2.63
Te8 0.9513 0.7500 0.6127  1 Cu 2.63
Te9 0.2465 0.2500 0.7408  2 Cu 2.60
Te10 0.7465 0.2500 0.7592  2 Cu 2.60
Te11 0.4513 0.7500 0.8873  1 Cu 2.63
Te12 0.0461 0.7500 0.8923  1 Cu 2.63

Properties
Calculated volume   33.7 Å³/atom
Distance to the lowest polymorph of the same formula   0.056 eV per atom

=====

Record 3
This record from OQMD describes PrTlFeSe3 after structural relaxation. The functional is PBE.

a b c (Å): 7.7035 7.7035 11.2463
angles (deg): 90.00 90.00 31.61
With the nearest neighbours (Å) after each atom.
Fractional coordinates of all 12 atoms:
Fe1 0.4707 0.4707 0.2500  4 Se 2.43-2.53
Fe2 0.5293 0.5293 0.7500  4 Se 2.43-2.53
Pr1 0.0000 0.0000 0.0000  6 Se 2.98
Pr2 0.0000 0.0000 0.5000  6 Se 2.98
Se1 0.3703 0.3703 0.0789  1 Fe 2.43
Se2 0.0666 0.0666 0.2500  2 Fe 2.53
Se3 0.3703 0.3703 0.4211  1 Fe 2.43
Se4 0.6297 0.6297 0.5789  1 Fe 2.43
Se5 0.9334 0.9334 0.7500  2 Fe 2.53
Se6 0.6297 0.6297 0.9211  1 Fe 2.43
Tl1 0.7515 0.7515 0.2500  6 Se 3.35-3.45
Tl2 0.2485 0.2485 0.7500  6 Se 3.35-3.45

Properties
Calculated volume   29.1 Å³/atom
Distance to the lowest polymorph of the same formula   0.010 eV per atom

=====

Record 4
This record from OQMD describes MgGaCoAg after structural relaxation. The functional is PBE.

a b c (Å): 4.3883 4.3883 4.3883
angles (deg): 60.00 60.00 60.00
With the nearest neighbours (Å) after each atom.
Fractional coordinates of all 4 atoms:
Ag1 0.2500 0.2500 0.2500  4 Mg 2.69, 4 Ga 2.69
Co1 0.7500 0.7500 0.7500  4 Ga 2.69, 4 Mg 2.69
Ga1 0.0000 0.0000 0.0000  4 Co 2.69, 4 Ag 2.69
Mg1 0.5000 0.5000 0.5000  4 Ag 2.69, 4 Co 2.69

Properties
Calculated volume   14.9 Å³/atom
Distance to the lowest polymorph of the same formula   0.000 eV per atom

=====

Record 5
This record from OQMD describes Sr2Nd after structural relaxation. The functional is PBE.

a b c (Å): 10.9867 10.9867 10.9867
angles (deg): 60.00 60.00 60.00
With the nearest neighbours (Å) after each atom.
Fractional coordinates of all 6 atoms:
Nd1 0.2500 0.2500 0.2500  4 Sr 3.36
Nd2 0.5000 0.5000 0.5000  4 Sr 3.36
Sr1 0.8750 0.3750 0.3750  2 Nd 3.36
Sr2 0.3750 0.8750 0.3750  2 Nd 3.36
Sr3 0.3750 0.3750 0.3750  2 Nd 3.36
Sr4 0.3750 0.3750 0.8750  2 Nd 3.36

Properties
Calculated volume   156.3 Å³/atom
Distance to the lowest polymorph of the same formula   1.697 eV per atom

=====

Record 6
This record from OQMD describes Er2GaNi2 after structural relaxation. The functional is PBE.

a b c (Å): 5.3054 5.3054 5.3054
angles (deg): 133.71 119.55 79.38
With the nearest neighbours (Å) after each atom.
Fractional coordinates of all 5 atoms:
Er1 0.7021 0.2021 0.5000  6 Ni 2.82-2.93, 2 Ga 3.14
Er2 0.2979 0.7979 0.5000  6 Ni 2.82-2.93, 2 Ga 3.14
Ga1 0.0000 0.0000 0.0000  4 Ni 2.53
Ni1 0.7315 0.5000 0.2315  1 Ni 2.47, 2 Ga 2.53
Ni2 0.2685 0.5000 0.7685  1 Ni 2.47, 2 Ga 2.53

Properties
Calculated volume   18.2 Å³/atom
Final energy   -5.260 eV per atom

=====

Record 7
This record from OQMD describes HoSbTe3Pb after structural relaxation. The functional is PBE.

a b c (Å): 8.2829 8.2829 10.9182
angles (deg): 90.00 90.00 150.86
With the nearest neighbours (Å) after each atom.
Fractional coordinates of all 12 atoms:
Ho1 0.5000 0.5000 0.0000  6 Te 3.17-3.35, 4 Sb 3.45
Ho2 0.5000 0.5000 0.5000  6 Te 3.17-3.35, 4 Sb 3.45
Pb1 0.2895 0.7105 0.2500  6 Te 3.36-3.42, 2 Sb 3.71
Pb2 0.7105 0.2895 0.7500  6 Te 3.36-3.42, 2 Sb 3.71
Sb1 0.9811 0.0189 0.2500  4 Te 3.06-3.19
Sb2 0.0189 0.9811 0.7500  4 Te 3.06-3.19
Te1 0.8525 0.1475 0.0271  2 Ho 3.17, 1 Sb 3.19, 2 Pb 3.36
Te2 0.6207 0.3793 0.2500  2 Sb 3.06, 2 Ho 3.35, 2 Pb 3.42
Te3 0.8525 0.1475 0.4729  2 Ho 3.17, 1 Sb 3.19, 2 Pb 3.36
Te4 0.1475 0.8525 0.5271  2 Ho 3.17, 1 Sb 3.19, 2 Pb 3.36
Te5 0.3793 0.6207 0.7500  2 Sb 3.06, 2 Ho 3.35, 2 Pb 3.42
Te6 0.1475 0.8525 0.9729  2 Ho 3.17, 1 Sb 3.19, 2 Pb 3.36

Properties
Calculated volume   30.4 Å³/atom
Final energy   -4.101 eV per atom

=====

Record 8
This record from OQMD describes Sr2CdI2O2 after structural relaxation. The functional is PBE.

a b c (Å): 9.8595 9.8595 9.8595
angles (deg): 154.37 154.37 36.56
With the nearest neighbours (Å) after each atom.
Fractional coordinates of all 7 atoms:
Cd1 0.0000 0.0000 0.0000  4 O 2.19
I1 0.1723 0.1723 0.0000  1 Cd 3.23, 4 Sr 3.49
I2 0.8277 0.8277 0.0000  1 Cd 3.23, 4 Sr 3.49
O1 0.5000 0.0000 0.5000  2 Cd 2.19
O2 0.0000 0.5000 0.5000  2 Cd 2.19
Sr1 0.4137 0.4137 0.0000  4 O 2.72
Sr2 0.5863 0.5863 0.0000  4 O 2.72

Properties
Calculated volume   25.6 Å³/atom
Final energy   -4.254 eV per atom

=====

Record 9
This record from OQMD describes HfZrCoSb after structural relaxation. The functional is PBE.

a b c (Å): 4.7247 4.7247 4.7247
angles (deg): 60.00 60.00 60.00
With the nearest neighbours (Å) after each atom.
Fractional coordinates of all 4 atoms:
Co1 0.7500 0.7500 0.7500  4 Hf 2.89, 4 Sb 2.89
Hf1 0.5000 0.5000 0.5000  4 Zr 2.89, 4 Co 2.89
Sb1 0.0000 0.0000 0.0000  4 Zr 2.89, 4 Co 2.89
Zr1 0.2500 0.2500 0.2500  4 Hf 2.89, 4 Sb 2.89

Properties
Calculated volume   18.6 Å³/atom
Distance to the lowest polymorph of the same formula   0.000 eV per atom

=====

Record 10
This record from OQMD describes LaPrI2BrN after structural relaxation. The functional is PBE.

a b c (Å): 9.9055 9.9055 12.3699
angles (deg): 122.97 122.97 24.30
With the nearest neighbours (Å) after each atom.
Fractional coordinates of all 12 atoms:
Br1 0.7894 0.7894 0.3770  2 La 3.04, 1 Pr 3.07
Br2 0.2106 0.2106 0.6230  2 La 3.04, 1 Pr 3.07
I1 0.6655 0.6655 0.0149  3 Pr 3.31-3.35
I2 0.0443 0.0443 0.2375  2 La 3.25, 1 Pr 3.28
I3 0.9557 0.9557 0.7625  2 La 3.25, 1 Pr 3.28
I4 0.3345 0.3345 0.9851  3 Pr 3.31-3.35
La1 0.5772 0.5772 0.4631  2 N 2.36-2.37
La2 0.4228 0.4228 0.5369  2 N 2.36-2.37
N1 0.4312 0.4312 0.3529  2 La 2.36-2.37, 2 Pr 2.50
N2 0.5688 0.5688 0.6471  2 La 2.36-2.37, 2 Pr 2.50
Pr1 0.8699 0.8699 0.2224  2 N 2.50
Pr2 0.1301 0.1301 0.7776  2 N 2.50

Properties
Calculated volume   34.6 Å³/atom
Distance to the lowest polymorph of the same formula   0.011 eV per atom

=====

Record 11
This record from OQMD describes ZrTaCoSn after structural relaxation. The functional is PBE.

a b c (Å): 4.6751 4.6751 4.6751
angles (deg): 60.00 60.00 60.00
With the nearest neighbours (Å) after each atom.
Fractional coordinates of all 4 atoms:
Co1 0.7500 0.7500 0.7500  4 Zr 2.86, 4 Sn 2.86
Sn1 0.0000 0.0000 0.0000  4 Co 2.86, 4 Ta 2.86
Ta1 0.2500 0.2500 0.2500  4 Zr 2.86, 4 Sn 2.86
Zr1 0.5000 0.5000 0.5000  4 Co 2.86, 4 Ta 2.86

Properties
Calculated volume   18.1 Å³/atom
Distance to the lowest polymorph of the same formula   0.000 eV per atom